1.
# PbAuO2

A relaxed structure of PbAuO2 (PBE, Alexandria via LeMat-Bulk).

The structure in extended XYZ format:
```
8
Lattice="-0.619 0.659 4.879 5.458 -0.950 1.422 -0.896 5.215 -4.425" Properties=species:S:1:pos:R:3 pbc="T T T"
Pb 0.892 0.467 3.918
Pb 3.050 4.457 -2.043
Au 1.971 2.462 0.938
Au 4.391 2.317 4.088
O 0.397 1.933 2.115
O 0.762 4.223 -2.103
O 3.180 0.701 3.978
O 3.546 2.991 -0.240
```

- Raw total energy: -19.33 eV/f.u.
- V: 152 Å³ per cell

---

2.
# Mg2In

A relaxed structure of Mg2In (PBE, Alexandria via LeMat-Bulk).

The structure in extended XYZ format:
```
6
Lattice="6.117 0.014 -0.181 5.265 3.115 -0.181 -9.872 -2.715 7.796" Properties=species:S:1:pos:R:3 pbc="T T T"
In -0.134 -0.037 0.145
In -2.655 -0.730 4.978
Mg -5.751 -1.581 5.564
Mg 1.235 0.340 2.887
Mg 4.279 1.177 2.351
Mg 8.193 2.253 0.123
```

- Raw total energy: -6.08 eV/f.u.
- V: 142 Å³ per cell
- Energy of formation from the pure elements: -0.052 eV/atom

---

3.
# Nb2AsS

A relaxed structure of Nb2AsS (PBE, Alexandria via LeMat-Bulk).

The structure in extended XYZ format:
```
8
Lattice="5.552 0.000 0.000 0.000 5.552 0.000 2.776 2.776 5.902" Properties=species:S:1:pos:R:3 pbc="T T T"
S 2.776 2.776 0.000
S 2.776 5.552 2.951
Nb 4.018 1.388 1.476
Nb 1.534 4.164 1.476
Nb 4.164 4.310 4.427
Nb 6.940 6.794 4.427
As 0.000 0.000 0.000
As 5.552 2.776 2.951
```

- Raw total energy: -29.03 eV/f.u.
- V: 182 Å³ per cell
- Energy above the most stable polymorph in this dataset: 460 meV/atom

---

4.
# CuB3S

A relaxed structure of CuB3S (PBE, Alexandria via LeMat-Bulk).

The structure in extended XYZ format:
```
5
Lattice="-0.767 -2.263 -3.131 -2.917 -1.753 1.981 -2.532 2.705 -1.335" Properties=species:S:1:pos:R:3 pbc="T T T"
S -3.108 -0.655 -1.242
B -1.459 -0.876 0.991
B -1.266 1.353 -0.667
B -0.383 -1.131 -1.565
Cu 0.000 0.000 0.000
```

- Raw total energy: -20.03 eV/f.u.
- V: 61 Å³ per cell
- Energy above the most stable polymorph in this dataset: 0 meV/atom

---

5.
# LiZnCl2

A relaxed structure of LiZnCl2 (PBE, Alexandria via LeMat-Bulk).

The structure in extended XYZ format:
```
4
Lattice="1.771 -3.658 -2.552 -1.239 -4.507 1.087 -2.864 -2.478 -2.947" Properties=species:S:1:pos:R:3 pbc="T T T"
Zn -1.166 -5.321 -2.206
Li 0.000 0.000 0.000
Cl -0.583 -2.661 -1.103
Cl -1.749 -7.982 -3.309
```

- Raw total energy: -9.87 eV/f.u.
- V: 78 Å³ per cell
- Energy above the most stable polymorph in this dataset: 256 meV/atom

---

6.
# La2Pm4Sm2Ho

A relaxed structure of La2Pm4Sm2Ho (PBE, Alexandria via LeMat-Bulk).

The structure in extended XYZ format:
```
9
Lattice="-2.672 -1.534 2.031 -1.873 -3.862 -8.734 6.739 -4.745 5.282" Properties=species:S:1:pos:R:3 pbc="T T T"
La -2.145 -3.104 -5.167
La 4.340 -7.037 3.746
Pm 1.130 -6.837 -0.325
Pm 1.064 -3.304 -1.096
Pm 0.782 -2.519 2.478
Pm 1.412 -7.622 -3.900
Sm -1.348 -5.619 -2.666
Sm 3.542 -4.522 1.244
Ho 0.000 0.000 0.000
```

- Raw total energy: -42.79 eV/f.u.
- V: 311 Å³ per cell
- Energy of formation from the pure elements: 0.009 eV/atom